Entry 1:
A plane-wave DFT calculation with PBE-GGA was carried out for a relaxed structure of La6PrCd3.

* crystal system: orthorhombic
* calculated total energy: -3.825 eV/atom
* formation energy from the elements: -11.2 kJ per mole of atoms

Unit cell a=13.209 b=14.381 c=7.042 alpha=90.00 beta=90.00 gamma=90.00
Space group Cmc2_1 (No. 36)
Inequivalent atoms, fractional coordinates:
La1 0.000 0.078 0.000
La2 0.000 0.298 0.298
La3 0.217 0.476 0.299
La4 0.221 0.216 0.125
Pr1 0.000 0.306 0.781
Cd1 0.000 0.497 0.044
Cd2 0.112 0.123 0.524


Entry 2:
A plane-wave DFT calculation with PBE-GGA was carried out for a relaxed structure of Rb3VBr.

* uncorrected formation energy: 0.123 eV/atom
* crystal system: cubic
* E above lowest polymorph: 0 meV/atom
* calculated total energy: -2.616 eV/atom

Unit cell a=6.608 b=6.608 c=6.608 alpha=90.00 beta=90.00 gamma=90.00
Space group Pm-3m (No. 221)
Inequivalent atoms, fractional coordinates:
Rb1 0.000 0.000 0.500
V1 0.500 0.500 0.500
Br1 0.000 0.000 0.000


Entry 3:
A plane-wave DFT calculation with PBE-GGA was carried out for a relaxed structure of Ac6InTe3Se2.

* uncorrected formation energy: -1.423 eV/atom
* crystal system: monoclinic
* calculated total energy: -5.071 eV/atom

Unit cell a=20.554 b=4.596 c=9.492 alpha=90.00 beta=104.78 gamma=90.00
Space group C2/m (No. 12)
Inequivalent atoms, fractional coordinates:
Ac1 0.006 0.000 0.249
Ac2 0.164 0.500 0.095
Ac3 0.170 0.500 0.570
In1 0.000 0.500 0.000
Te1 0.000 0.500 0.500
Te2 0.166 0.000 0.829
Se1 0.170 0.000 0.336


Entry 4:
A plane-wave DFT calculation with PBE-GGA was carried out for a relaxed structure of Na2H3Pd.

* crystal system: monoclinic
* E above lowest polymorph: 0 meV/atom
* calculated total energy: -3.244 eV/atom

Unit cell a=11.766 b=3.696 c=3.585 alpha=90.00 beta=107.48 gamma=90.00
Space group C2/m (No. 12)
Inequivalent atoms, fractional coordinates:
Na1 0.141 0.000 0.140
H1 0.000 0.000 0.500
H2 0.152 0.500 0.651
Pd1 0.000 0.500 0.500